DFT (PBE-GGA) results for LiCa2PtO after structural relaxation.

Values from the calculation:
The total magnetic moment is 0.00 μB per formula unit. For the energy above the most stable polymorph in this dataset, the calculation gives 0.000 eV per atom. The calculation puts the formation energy without anion corrections at -1505 meV/atom.

Unit cell a=4.7608 b=4.7608 c=3.9482 alpha=90.00 beta=90.00 gamma=90.00
Atoms (fractional coordinates):
1 Li 0.0000 0.0000 0.0000
2 Ca 0.0000 0.5000 0.5000
3 Ca 0.5000 0.0000 0.5000
4 Pt 0.5000 0.5000 0.0000
5 O 0.0000 0.0000 0.5000